Entry 1:
First-principles (GGA-PBE) data for a relaxed structure of BaBeAlAu, as listed in the Open Quantum Materials Database.

a b c (Å): 5.0811 5.0811 5.0811
angles (deg): 60.00 60.00 60.00
Fractional coordinates of all 4 atoms:
Ba: 0.0000 0.0000 0.0000
Au: 0.7500 0.7500 0.7500
Al: 0.5000 0.5000 0.5000
Be: 0.2500 0.2500 0.2500

Computed properties:
- Offset from the most stable computed form: 0 meV per atom
- E: -11.86 eV/cell

---

Entry 2:
First-principles (GGA-PBE) data for a relaxed structure of BaBeAlAu, as listed in the Open Quantum Materials Database.

a b c (Å): 5.1050 5.1050 5.1050
angles (deg): 60.00 60.00 60.00
Fractional coordinates of all 4 atoms:
Al: 0.2500 0.2500 0.2500
Be: 0.5000 0.5000 0.5000
Au: 0.7500 0.7500 0.7500
Ba: 0.0000 0.0000 0.0000

Computed properties:
- Offset from the most stable computed form: 120 meV per atom
- E: -11.38 eV/cell

---

Entry 3:
First-principles (GGA-PBE) data for a relaxed structure of BaAlCdAu, as listed in the Open Quantum Materials Database.

a b c (Å): 5.2990 5.2990 5.2990
angles (deg): 60.00 60.00 60.00
Fractional coordinates of all 4 atoms:
Al: 0.2500 0.2500 0.2500
Au: 0.7500 0.7500 0.7500
Ba: 0.5000 0.5000 0.5000
Cd: 0.0000 0.0000 0.0000

Computed properties:
- Offset from the most stable computed form: 36 meV per atom
- E: -10.44 eV/cell

---

Entry 4:
First-principles (GGA-PBE) data for a relaxed structure of BaAlCdAu, as listed in the Open Quantum Materials Database.

a b c (Å): 5.2249 5.2249 5.2249
angles (deg): 60.00 60.00 60.00
Fractional coordinates of all 4 atoms:
Au: 0.7500 0.7500 0.7500
Al: 0.5000 0.5000 0.5000
Ba: 0.2500 0.2500 0.2500
Cd: 0.0000 0.0000 0.0000

Computed properties:
- Offset from the most stable computed form: 79 meV per atom
- E: -10.26 eV/cell

---

Entry 5:
First-principles (GGA-PBE) data for a relaxed structure of BaAlCdAu, as listed in the Open Quantum Materials Database.

a b c (Å): 5.3106 5.3106 5.3106
angles (deg): 60.00 60.00 60.00
Fractional coordinates of all 4 atoms:
Al: 0.0000 0.0000 0.0000
Au: 0.7500 0.7500 0.7500
Ba: 0.5000 0.5000 0.5000
Cd: 0.2500 0.2500 0.2500

Computed properties:
- Offset from the most stable computed form: 0 meV per atom
- E: -10.58 eV/cell

---

Entry 6:
First-principles (GGA-PBE) data for a relaxed structure of BaAlGaAu2, as listed in the Open Quantum Materials Database.

a b c (Å): 4.7181 4.7181 10.5407
angles (deg): 90.00 90.00 90.00
Fractional coordinates of all 10 atoms:
Au: 0.5000 0.0000 0.6339
Au: 0.0000 0.5000 0.3661
Au: 0.5000 0.5000 0.0000
Au: 0.0000 0.0000 0.0000
Ga: 0.5000 0.5000 0.5000
Ga: 0.0000 0.0000 0.5000
Ba: 0.5000 0.0000 0.2548
Ba: 0.0000 0.5000 0.7452
Al: 0.5000 0.0000 0.8834
Al: 0.0000 0.5000 0.1166

Computed properties:
- E: -36.38 eV/cell